Record 1
PBE Hf2OsI, optimized geometry; space group = Fm-3m, No. 225
1.0
0.000 3.430 3.430
3.430 0.000 3.430
3.430 3.430 0.000
Hf Os I
2 1 1
Direct
0.750 0.750 0.750
0.250 0.250 0.250
0.500 0.500 0.500
0.000 0.000 0.000

Record 2
PBE Hf2OsI, optimized geometry; space group = I-42d, No. 122
1.0
-0.322 -2.394 -5.651
1.493 -5.519 2.253
-5.828 -5.308 -0.760
Hf Os I
4 2 2
Direct
0.705 0.125 0.250
0.045 0.625 0.250
0.375 0.295 0.750
0.875 0.955 0.750
0.000 0.000 0.000
0.750 0.250 0.500
0.500 0.500 0.000
0.250 0.750 0.500

Record 3
PBE Rb2HfOsI6, optimized geometry; space group = I4/mmm, No. 139
1.0
8.084 0.000 0.000
0.000 8.084 0.000
4.042 4.042 5.723
I Rb Hf Os
6 2 1 1
Direct
0.245 0.245 0.511
0.755 0.755 0.489
0.245 0.245 0.000
0.245 0.755 0.000
0.755 0.245 0.000
0.755 0.755 0.000
0.750 0.250 0.500
0.250 0.750 0.500
0.500 0.500 0.000
0.000 0.000 0.000

Record 4
PBE HfReOsI2, optimized geometry; space group = P4/mmm, No. 123
1.0
5.281 0.000 0.000
0.000 5.048 0.000
0.000 0.000 5.281
I Os Re Hf
2 1 1 1
Direct
0.000 0.000 0.500
0.500 0.000 0.000
0.000 0.000 0.000
0.500 0.500 0.500
0.000 0.500 0.000

Record 5
PBE HfSbOsI2, optimized geometry; space group = P4/mmm, No. 123
1.0
-2.157 3.716 -3.169
-2.794 -3.780 -2.531
-3.834 0.609 3.324
I Sb Hf Os
2 1 1 1
Direct
0.500 0.000 0.000
0.000 0.500 0.000
0.000 0.000 0.500
0.500 0.500 0.500
0.000 0.000 0.000

Record 6
PBE HfScOsI2, optimized geometry; space group = P4/mmm, No. 123
1.0
5.286 0.000 0.000
0.000 5.808 0.000
0.000 0.000 5.286
Hf I Sc Os
1 2 1 1
Direct
0.000 0.500 0.000
0.000 0.000 0.500
0.500 0.000 0.000
0.000 0.000 0.000
0.500 0.500 0.500

Record 7
PBE HfOs2SeI, optimized geometry; space group = P4/mmm, No. 123
1.0
-4.208 1.162 1.112
0.228 -3.432 4.452
1.598 3.375 2.520
I Os Se Hf
1 2 1 1
Direct
0.000 0.500 0.000
0.500 0.000 0.000
0.000 0.000 0.500
0.000 0.000 0.000
0.500 0.500 0.500

Record 8
PBE HfP2I, optimized geometry; space group = I-42d, No. 122
1.0
6.280 0.000 0.000
0.000 6.280 0.000
3.140 3.140 6.405
P Hf I
4 2 2
Direct
0.375 0.295 0.750
0.705 0.125 0.250
0.045 0.625 0.250
0.875 0.955 0.750
0.000 0.000 0.000
0.750 0.250 0.500
0.250 0.750 0.500
0.500 0.500 0.000

| no. | raw formation energy (eV/atom) | calculated total energy (eV/atom) |
| --- | --- | --- |
| 1 | 0.3272 | -7.844 |
| 2 | 0.5669 | -7.605 |
| 3 | -0.4106 | -3.653 |
| 4 | 1.8388 | -5.508 |
| 5 | 1.0948 | -4.586 |
| 6 | 1.5437 | -4.579 |
| 7 | 1.5586 | -5.931 |
| 8 | 0.2908 | -5.290 |